Li8Zr7FeP12O48: relaxed, PBE+U.

Cell and atoms, written as POSCAR:
```
Li8Zr7FeP12O48
1.0
8.922 0.000 0.000
0.010 9.030 0.000
0.031 0.079 12.639
Li Zr Fe P O
8 7 1 12 48
Cartesian
0.000 0.000 0.000
0.023 0.517 7.890
3.819 4.980 8.001
3.847 4.591 12.627
4.487 9.015 1.732
4.532 0.480 6.265
8.295 4.444 1.771
8.321 4.889 6.298
4.126 2.847 2.622
4.147 6.625 5.386
4.200 2.126 8.904
4.215 7.452 11.712
8.610 2.935 11.727
8.614 6.652 8.884
8.662 7.400 2.631
8.654 2.150 5.406
0.995 6.166 12.218
1.008 3.418 8.438
1.501 4.755 4.001
2.315 0.294 4.072
2.889 1.644 12.220
2.885 7.929 8.415
5.484 3.412 5.889
5.479 6.072 2.104
5.973 4.789 10.302
6.855 0.272 10.305
7.320 1.576 2.162
7.353 7.939 5.895
0.411 4.775 12.611
0.406 2.356 7.533
0.419 7.177 0.551
0.474 4.848 8.077
0.563 6.541 10.787
0.605 4.084 5.020
0.628 3.135 9.920
0.608 5.509 2.949
1.346 1.592 12.340
1.345 7.990 8.297
1.437 8.314 3.282
1.538 1.276 4.894
2.374 3.774 3.186
2.410 5.791 4.707
2.540 6.113 12.323
2.562 3.461 8.334
3.238 0.960 2.988
3.296 7.540 9.848
3.302 2.007 10.781
3.314 8.526 4.991
3.444 6.845 7.450
3.427 2.652 0.536
3.468 0.248 12.606
3.475 0.289 8.044
4.842 4.799 6.253
4.898 2.330 6.852
4.901 7.158 1.155
4.908 4.674 1.722
5.009 3.030 4.460
5.053 5.509 11.326
5.057 4.060 9.284
5.070 6.432 3.546
5.764 1.514 2.007
5.795 7.925 5.978
5.981 1.285 9.551
6.014 8.291 11.094
6.832 5.802 9.527
6.837 3.782 11.077
6.996 3.491 5.990
7.025 6.042 1.995
7.747 1.983 3.541
7.753 7.551 4.433
7.767 8.577 9.272
7.791 0.995 11.313
7.859 2.614 1.111
7.878 0.154 1.750
7.895 0.272 6.276
7.905 6.807 6.825
```

Summary:
Final energy (eV per atom): -7.62
V (Å³ per cell): 1018
Crystal system: triclinic
SG: No. 1